No. 1
VASP calculation (PBE-GGA) on a geometry-optimized Nd4Sm15Al structure.

abc: 5.0708 5.0708 25.6788
angles: 90.00 90.00 90.00
Sites, in units of the cell vectors:
Nd  0.0000  0.0000  0.1013
Nd  0.0000  0.0000  0.3050
Nd  0.0000  0.0000  0.6950
Nd  0.0000  0.0000  0.8987
Sm  0.0000  0.5000  0.0000
Sm  0.0000  0.5000  0.2038
Sm  0.0000  0.5000  0.4079
Sm  0.0000  0.5000  0.5921
Sm  0.0000  0.5000  0.7962
Sm  0.5000  0.0000  0.0000
Sm  0.5000  0.0000  0.2038
Sm  0.5000  0.0000  0.4079
Sm  0.5000  0.0000  0.5921
Sm  0.5000  0.0000  0.7962
Sm  0.5000  0.5000  0.1023
Sm  0.5000  0.5000  0.3067
Sm  0.5000  0.5000  0.5000
Sm  0.5000  0.5000  0.6933
Sm  0.5000  0.5000  0.8977
Al  0.0000  0.0000  0.5000

## Properties
Energy of formation from the pure elements (eV/atom): -0.01
Mass density (g cm⁻³): 7.19
Total magnetization (Bohr magnetons per cell): 0.00

=====

No. 2
VASP calculation (PBE-GGA) on a geometry-optimized Nd4SmAl structure.

abc: 8.3992 8.3992 6.4282
angles: 100.23 100.23 115.01
Sites, in units of the cell vectors:
Nd  0.0815  0.7168  0.9513
Nd  0.1681  0.3909  0.6263
Nd  0.2832  0.9185  0.5487
Nd  0.3909  0.1681  0.1263
Nd  0.6091  0.8319  0.8737
Nd  0.7168  0.0815  0.4513
Nd  0.8319  0.6091  0.3737
Nd  0.9185  0.2832  0.0487
Sm  0.4074  0.5926  0.2500
Sm  0.5926  0.4074  0.7500
Al  0.9999  0.0001  0.2500
Al  0.0001  0.9999  0.7500

## Properties
Energy of formation from the pure elements (eV/atom): -0.03
Mass density (g cm⁻³): 6.46
Total magnetization (Bohr magnetons per cell): 0.00

=====

No. 3
VASP calculation (PBE-GGA) on a geometry-optimized Nd5SmAl2 structure.

abc: 5.4549 5.4549 20.1445
angles: 90.00 90.00 120.00
Sites, in units of the cell vectors:
Nd  0.0000  0.0000  0.1547
Nd  0.0000  0.0000  0.3453
Nd  0.0000  0.0000  0.6547
Nd  0.0000  0.0000  0.8453
Nd  0.3333  0.6667  0.0561
Nd  0.3333  0.6667  0.2500
Nd  0.3333  0.6667  0.4439
Nd  0.6667  0.3333  0.5561
Nd  0.6667  0.3333  0.7500
Nd  0.6667  0.3333  0.9439
Sm  0.3333  0.6667  0.7500
Sm  0.6667  0.3333  0.2500
Al  0.3333  0.6667  0.5996
Al  0.3333  0.6667  0.9004
Al  0.6667  0.3333  0.0996
Al  0.6667  0.3333  0.4004

## Properties
Energy of formation from the pure elements (eV/atom): -0.01
Mass density (g cm⁻³): 5.92
Total magnetization (Bohr magnetons per cell): 0.00

=====

No. 4
VASP calculation (PBE-GGA) on a geometry-optimized Nd3SmAl2 structure.

abc: 5.2529 9.8246 6.7303
angles: 90.00 90.00 90.00
Sites, in units of the cell vectors:
Nd  0.0000  0.0451  0.0000
Nd  0.0000  0.3287  0.3342
Nd  0.0000  0.6713  0.8342
Nd  0.0000  0.9549  0.5000
Nd  0.5000  0.1743  0.7144
Nd  0.5000  0.8257  0.2144
Sm  0.5000  0.4538  0.0480
Sm  0.5000  0.5462  0.5480
Al  0.0000  0.3521  0.8173
Al  0.0000  0.6479  0.3173
Al  0.5000  0.1495  0.2325
Al  0.5000  0.8505  0.7325

## Properties
Energy of formation from the pure elements (eV/atom): -0.25
Mass density (g cm⁻³): 6.09
Total magnetization (Bohr magnetons per cell): 0.00

=====

No. 5
VASP calculation (PBE-GGA) on a geometry-optimized Nd12Sm6Al structure.

abc: 8.6474 8.6474 8.6474
angles: 90.32 90.32 90.32
Sites, in units of the cell vectors:
Nd  0.0188  0.9531  0.2939
Nd  0.0469  0.7061  0.9812
Nd  0.1311  0.4556  0.3430
Nd  0.2939  0.0188  0.9531
Nd  0.3430  0.1311  0.4556
Nd  0.4556  0.3430  0.1311
Nd  0.5444  0.6570  0.8689
Nd  0.6570  0.8689  0.5444
Nd  0.7061  0.9812  0.0469
Nd  0.8689  0.5444  0.6570
Nd  0.9531  0.2939  0.0188
Nd  0.9812  0.0469  0.7061
Sm  0.2354  0.7599  0.5985
Sm  0.2401  0.4015  0.7646
Sm  0.4015  0.7646  0.2401
Sm  0.5985  0.2354  0.7599
Sm  0.7599  0.5985  0.2354
Sm  0.7646  0.2401  0.4015
Al  0.5000  0.5000  0.5000

## Properties
Energy of formation from the pure elements (eV/atom): 0.08
Mass density (g cm⁻³): 6.83
Total magnetization (Bohr magnetons per cell): 0.00

=====

No. 6
VASP calculation (PBE-GGA) on a geometry-optimized Nd5Sm12Al2 structure.

abc: 9.9013 9.9013 9.0218
angles: 106.86 106.86 48.14
Sites, in units of the cell vectors:
Nd  0.0000  0.0000  0.0000
Nd  0.2516  0.2516  0.7212
Nd  0.3132  0.3132  0.3279
Nd  0.6868  0.6868  0.6721
Nd  0.7484  0.7484  0.2788
Sm  0.0518  0.0518  0.6668
Sm  0.0659  0.6660  0.6338
Sm  0.0795  0.6142  0.0298
Sm  0.3340  0.9341  0.3662
Sm  0.3858  0.9205  0.9702
Sm  0.4841  0.4841  0.8085
Sm  0.5159  0.5159  0.1915
Sm  0.6142  0.0795  0.0298
Sm  0.6660  0.0659  0.6338
Sm  0.9205  0.3858  0.9702
Sm  0.9341  0.3340  0.3662
Sm  0.9482  0.9482  0.3332
Al  0.3379  0.6621  0.5000
Al  0.6621  0.3379  0.5000

## Properties
Energy of formation from the pure elements (eV/atom): 0.06
Mass density (g cm⁻³): 6.86
Total magnetization (Bohr magnetons per cell): 0.00

=====

No. 7
VASP calculation (PBE-GGA) on a geometry-optimized Nd3Sm12Al structure.

abc: 5.0497 5.0497 20.5418
angles: 90.00 90.00 90.00
Sites, in units of the cell vectors:
Nd  0.0000  0.0000  0.0000
Nd  0.0000  0.0000  0.2548
Nd  0.0000  0.0000  0.7452
Sm  0.0000  0.5000  0.1282
Sm  0.0000  0.5000  0.3843
Sm  0.0000  0.5000  0.6157
Sm  0.0000  0.5000  0.8718
Sm  0.5000  0.0000  0.1282
Sm  0.5000  0.0000  0.3843
Sm  0.5000  0.0000  0.6157
Sm  0.5000  0.0000  0.8718
Sm  0.5000  0.5000  0.0000
Sm  0.5000  0.5000  0.2579
Sm  0.5000  0.5000  0.5000
Sm  0.5000  0.5000  0.7421
Al  0.0000  0.0000  0.5000

## Properties
Energy of formation from the pure elements (eV/atom): -0.01
Mass density (g cm⁻³): 7.18
Total magnetization (Bohr magnetons per cell): 0.00

=====

No. 8
VASP calculation (PBE-GGA) on a geometry-optimized Nd5SmAl3 structure.

abc: 9.3273 9.3273 6.8764
angles: 90.00 90.00 120.00
Sites, in units of the cell vectors:
Nd  0.0000  0.3345  0.2500
Nd  0.0000  0.6655  0.7500
Nd  0.3333  0.6667  0.0000
Nd  0.3333  0.6667  0.5000
Nd  0.3345  0.0000  0.2500
Nd  0.3345  0.3345  0.7500
Nd  0.6655  0.0000  0.7500
Nd  0.6655  0.6655  0.2500
Nd  0.6667  0.3333  0.0000
Nd  0.6667  0.3333  0.5000
Sm  0.0000  0.0000  0.0000
Sm  0.0000  0.0000  0.5000
Al  0.0000  0.3305  0.7500
Al  0.0000  0.6695  0.2500
Al  0.3305  0.0000  0.7500
Al  0.3305  0.3305  0.2500
Al  0.6695  0.0000  0.2500
Al  0.6695  0.6695  0.7500

## Properties
Energy of formation from the pure elements (eV/atom): -0.22
Mass density (g cm⁻³): 6.11
Total magnetization (Bohr magnetons per cell): 0.00

=====

No. 9
VASP calculation (PBE-GGA) on a geometry-optimized Nd2Sm3Al2 structure.

abc: 5.3986 5.3986 8.6778
angles: 108.23 108.23 60.16
Sites, in units of the cell vectors:
Nd  0.0861  0.0861  0.2580
Nd  0.9139  0.9139  0.7420
Sm  0.3469  0.3469  0.0414
Sm  0.5000  0.5000  0.5000
Sm  0.6531  0.6531  0.9586
Al  0.2197  0.2197  0.6589
Al  0.7803  0.7803  0.3411

## Properties
Energy of formation from the pure elements (eV/atom): -0.18
Mass density (g cm⁻³): 6.44
Total magnetization (Bohr magnetons per cell): 0.00

=====

No. 10
VASP calculation (PBE-GGA) on a geometry-optimized Nd2SmAl6 structure.

abc: 8.0740 8.0740 8.0740
angles: 147.79 126.13 64.17
Sites, in units of the cell vectors:
Nd  0.1256  0.1256  0.0000
Nd  0.8744  0.8744  0.0000
Sm  0.5000  0.0000  0.5000
Al  0.1279  0.3183  0.8096
Al  0.1888  0.5000  0.6888
Al  0.4913  0.6817  0.8096
Al  0.5087  0.3183  0.1904
Al  0.8112  0.5000  0.3112
Al  0.8721  0.6817  0.1904

## Properties
Energy of formation from the pure elements (eV/atom): -0.21
Mass density (g cm⁻³): 4.45
Total magnetization (Bohr magnetons per cell): 0.00

=====

No. 11
VASP calculation (PBE-GGA) on a geometry-optimized NdSm9Al2 structure.

abc: 4.9020 4.9020 15.1266
angles: 90.00 90.00 90.00
Sites, in units of the cell vectors:
Nd  0.0000  0.0000  0.0000
Sm  0.0000  0.5000  0.1800
Sm  0.0000  0.5000  0.5000
Sm  0.0000  0.5000  0.8200
Sm  0.5000  0.0000  0.1800
Sm  0.5000  0.0000  0.5000
Sm  0.5000  0.0000  0.8200
Sm  0.5000  0.5000  0.0000
Sm  0.5000  0.5000  0.3423
Sm  0.5000  0.5000  0.6577
Al  0.0000  0.0000  0.3403
Al  0.0000  0.0000  0.6597

## Properties
Energy of formation from the pure elements (eV/atom): -0.09
Mass density (g cm⁻³): 7.09
Total magnetization (Bohr magnetons per cell): 0.00

=====

No. 12
VASP calculation (PBE-GGA) on a geometry-optimized Nd2Sm3Al structure.

abc: 8.0551 8.0551 4.9147
angles: 90.00 90.00 144.64
Sites, in units of the cell vectors:
Nd  0.1597  0.8403  0.0000
Nd  0.8403  0.1597  0.0000
Sm  0.0000  0.0000  0.5000
Sm  0.3403  0.6597  0.5000
Sm  0.6597  0.3403  0.5000
Al  0.5000  0.5000  0.0000

## Properties
Energy of formation from the pure elements (eV/atom): -0.08
Mass density (g cm⁻³): 6.90
Total magnetization (Bohr magnetons per cell): 0.00